Record 1
Nd4RuCCl2, relaxed, DFT PBE-GGA; mass density = 6.32 g/cm3; energy relative to the elements, uncorrected = -0.8984 eV per atom; V = 25.0 Å³ per atom; calculated total energy = -6.056 eV/atom; space-group type = P2/m
1.0
3.9024 0.0000 0.0000
0.0000 6.9749 0.2419
0.0000 -2.3518 7.2661
Ru Nd C Cl
1 4 1 2
Cartesian
1.9512 3.4874 0.1209 Ru
0.0000 -0.2230 5.8628 Nd
1.9512 3.4940 6.0986 Nd
1.9512 1.1290 1.4094 Nd
0.0000 4.8461 1.6452 Nd
0.0000 0.0000 0.0000 C
0.0000 2.3115 3.7540 Cl
1.9512 -1.1759 3.6331 Cl

---

Record 2
Nd6CS2Cl3, relaxed, DFT PBE-GGA; mass density = 6.04 g/cm3; energy relative to the elements, uncorrected = -1.4862 eV per atom; V = 24.0 Å³ per atom; calculated total energy = -5.788 eV/atom; space-group type = C2/m
1.0
-2.7803 -2.5138 1.3664
2.0667 -5.5008 -5.9150
6.6109 -0.6650 6.4043
C Nd Cl S
1 6 3 2
Cartesian
-1.3902 -1.2569 0.6832 C
4.3083 -3.6682 2.0181 Nd
1.5889 -5.0115 -0.1625 Nd
0.4771 -1.1616 -1.1663 Nd
0.3139 -2.3061 2.2203 Nd
5.5834 -6.3735 -0.3646 Nd
5.4202 -7.5180 3.0220 Nd
-0.3568 -4.0073 -2.2743 Cl
2.4273 -3.4422 4.4307 Cl
3.4699 -5.2374 -2.5750 Cl
3.4959 -6.2430 1.4521 S
2.4013 -2.4366 0.4036 S

---

Quick rundown of Fermi-level density of states, same order as above: 0.501; 0.463 states/eV per atom